Density functional theory data (GGA-PBE) for HfCr2SbIr after structural relaxation.

```
HfCr2SbIr
1.0
4.774 0.000 0.000
0.000 4.774 0.000
0.000 0.000 5.294
Hf Cr Sb Ir
1 2 1 1
Direct
0.000 0.000 0.000
0.000 0.500 0.500
0.500 0.000 0.500
0.000 0.000 0.500
0.500 0.500 0.000
```

Calculated values
Energy relative to the elements, uncorrected (eV per atom): 1.545
VASP energy (eV per atom): -6.89
Mass density (g/cm³): 8.2



Density functional theory data (GGA-PBE) for CaPm4Sm2 after structural relaxation.

```
CaPm4Sm2
1.0
1.830 1.057 21.129
-1.830 1.057 21.129
0.000 -2.113 21.129
Ca Pm Sm
1 4 2
Direct
0.000 0.000 0.000
0.143 0.143 0.143
0.283 0.283 0.283
0.717 0.717 0.717
0.857 0.857 0.857
0.429 0.429 0.429
0.571 0.571 0.571
```

Calculated values
Energy of formation (eV/atom): 0.027
VASP energy (eV per atom): -4.32
Mass density (g/cm³): 6.2



Density functional theory data (GGA-PBE) for Sm8Zn2Ag after structural relaxation.

```
Sm8Zn2Ag
1.0
9.100 -2.587 0.000
9.100 2.587 0.000
-1.774 0.000 6.777
Sm Zn Ag
8 2 1
Direct
0.029 0.029 0.267
0.198 0.198 0.816
0.334 0.334 0.534
0.409 0.409 0.041
0.591 0.591 0.959
0.666 0.666 0.466
0.802 0.802 0.184
0.971 0.971 0.733
0.189 0.189 0.228
0.811 0.811 0.772
0.500 0.500 0.500
```

Calculated values
Energy of formation (eV/atom): -0.118
VASP energy (eV per atom): -4.04
Mass density (g/cm³): 7.5



Density functional theory data (GGA-PBE) for DyHo4Mg7 after structural relaxation.

```
DyHo4Mg7
1.0
5.288 0.000 0.000
-2.644 4.579 0.000
0.000 0.000 13.173
Dy Ho Mg
1 4 7
Direct
0.000 0.000 0.000
0.333 0.667 0.162
0.333 0.667 0.422
0.667 0.333 0.578
0.667 0.333 0.838
0.000 0.000 0.262
0.000 0.000 0.500
0.000 0.000 0.738
0.333 0.667 0.681
0.333 0.667 0.918
0.667 0.333 0.082
0.667 0.333 0.319
```

Calculated values
Energy above the most stable polymorph in this dataset (kJ/mol of atoms): 0.0
Energy of formation (eV/atom): -0.018
VASP energy (eV per atom): -2.86
Mass density (g/cm³): 5.2



Density functional theory data (GGA-PBE) for BaRhCl2 after structural relaxation.

```
BaRhCl2
1.0
6.778 0.000 0.000
0.000 8.240 0.000
-3.378 0.000 4.125
Ba Rh Cl
2 2 4
Direct
0.000 0.000 0.000
0.500 0.500 0.000
0.000 0.500 0.000
0.500 0.000 0.000
0.250 0.250 0.500
0.250 0.750 0.500
0.750 0.250 0.500
0.750 0.750 0.500
```

Calculated values
Energy relative to the elements, uncorrected (eV per atom): -0.816
Energy above the most stable polymorph in this dataset (kJ/mol of atoms): 25.9
VASP energy (eV per atom): -4.06
Mass density (g/cm³): 4.5



Density functional theory data (GGA-PBE) for ReTePtI2 after structural relaxation.

```
ReTePtI2
1.0
5.446 0.000 0.000
0.000 5.446 0.000
0.000 0.000 5.054
Re Te Pt I
1 1 1 2
Direct
0.000 0.000 0.000
0.000 0.000 0.500
0.500 0.500 0.500
0.000 0.500 0.000
0.500 0.000 0.000
```

Calculated values
Energy relative to the elements, uncorrected (eV per atom): 1.264
Energy above the most stable polymorph in this dataset (kJ/mol of atoms): 0.0
VASP energy (eV per atom): -3.68
Mass density (g/cm³): 8.4



> Which of these has the highest VASP energy?

DyHo4Mg7



> VASP energy of number 5 (BaRhCl2)?

-4.06 eV per atom



> Which value of mass density does entry 6 give?

8.4 g/cm³



Please write out number 5 again, unchanged.
Density functional theory data (GGA-PBE) for BaRhCl2 after structural relaxation.

```
BaRhCl2
1.0
6.778 0.000 0.000
0.000 8.240 0.000
-3.378 0.000 4.125
Ba Rh Cl
2 2 4
Direct
0.000 0.000 0.000
0.500 0.500 0.000
0.000 0.500 0.000
0.500 0.000 0.000
0.250 0.250 0.500
0.250 0.750 0.500
0.750 0.250 0.500
0.750 0.750 0.500
```

Calculated values
Energy relative to the elements, uncorrected (eV per atom): -0.816
Energy above the most stable polymorph in this dataset (kJ/mol of atoms): 25.9
VASP energy (eV per atom): -4.06
Mass density (g/cm³): 4.5